Compound: CaYZnSi
Source: Alexandria
Functional: PBE
Structure: relaxed

Unit cell a=7.122 b=7.122 c=7.122 alpha=90.00 beta=90.00 gamma=90.00
Atoms (fractional coordinates):
Ca 0.000 0.000 0.000
Ca 0.000 0.500 0.500
Ca 0.500 0.000 0.500
Ca 0.500 0.500 0.000
Y 0.000 0.000 0.500
Y 0.000 0.500 0.000
Y 0.500 0.000 0.000
Y 0.500 0.500 0.500
Zn 0.250 0.250 0.250
Zn 0.250 0.750 0.750
Zn 0.750 0.250 0.750
Zn 0.750 0.750 0.250
Si 0.250 0.250 0.750
Si 0.250 0.750 0.250
Si 0.750 0.250 0.250
Si 0.750 0.750 0.750

Output
The space-group type is F-43m. The density of states at the Fermi level comes out at 13.25 states/eV/cell. The value obtained for the total magnetic moment is 0.000 μB per atom. For the formation energy (no corrections), the calculation gives -0.3737 eV/atom.